Entry 1:
An optimized crystal structure of DyTa2. Source: the Alexandria database, functional PBE.

```
DyTa2
1.0
-0.344 -5.668 -0.685
4.347 -2.863 -2.370
3.225 -3.469 3.205
Ta Dy
4 2
direct
0.125 0.625 0.625
0.625 0.625 0.125
0.625 0.125 0.625
0.625 0.625 0.625
0.250 0.250 0.250
0.000 0.000 0.000
```

Summary:
E_tot: -27.523 eV per formula unit
density: 13.16 g/cm³
DOS at the Fermi energy: 13.13 states/eV/cell

Entry 2:
An optimized crystal structure of Tb2DyTa. Source: the Alexandria database, functional PBE.

```
Tb2DyTa
1.0
3.277 0.000 0.000
1.639 2.838 0.000
1.639 0.946 11.689
Tb Ta Dy
2 1 1
direct
0.084 0.084 0.749
0.916 0.916 0.251
0.000 0.000 0.000
0.500 0.500 0.500
```

Summary:
E_tot: -23.298 eV per formula unit
density: 10.10 g/cm³
DOS at the Fermi energy: 5.44 states/eV/cell

Entry 3:
An optimized crystal structure of TbDy2Ta. Source: the Alexandria database, functional PBE.

```
TbDy2Ta
1.0
-2.576 1.528 -1.316
-2.852 0.072 1.601
1.394 10.465 5.355
Ta Tb Dy
1 1 2
direct
0.000 0.000 0.000
0.500 0.500 0.500
0.917 0.917 0.250
0.083 0.083 0.750
```

Summary:
E_tot: -23.285 eV per formula unit
density: 10.19 g/cm³
DOS at the Fermi energy: 5.39 states/eV/cell

Entry 4:
An optimized crystal structure of DyTaTc4. Source: the Alexandria database, functional PBE.

```
DyTaTc4
1.0
-0.435 -2.340 -4.708
-3.174 -4.172 -0.588
-4.468 0.454 -2.768
Tc Ta Dy
4 1 1
direct
0.626 0.626 0.123
0.626 0.626 0.626
0.123 0.626 0.626
0.626 0.123 0.626
0.000 0.000 0.000
0.250 0.250 0.250
```

Summary:
E_tot: -58.277 eV per formula unit
density: 11.77 g/cm³
DOS at the Fermi energy: 9.20 states/eV/cell